# 1
Here is a relaxed structure of BaNiI3 from Alexandria via LeMat-Bulk. Energies are from PBE.

```
BaNiI3
1.0
5.4766 0.0000 0.0000
0.0000 5.4766 0.0000
0.0000 0.0000 5.4766
Ba Ni I
1 1 3
Direct
0.0000 0.0000 0.0000
0.5000 0.5000 0.5000
0.0000 0.5000 0.5000
0.5000 0.0000 0.5000
0.5000 0.5000 0.0000
```

Values from the calculation:
Its relative energy among the computed polymorphs is 0 meV per atom. The magnetic moment comes out at 0.0 μB/f.u. The uncorrected energy comes out at -3.32 eV per atom. Its symmetry is Pm-3m. As for the mass density: 5.83 g/cm³.


# 2
Here is a relaxed structure of CsSbBr3 from Alexandria via LeMat-Bulk. Energies are from PBE.

```
CsSbBr3
1.0
-3.7843 5.8133 6.3328
3.7843 -5.8133 6.3328
3.7843 5.8133 -6.3328
Cs Sb Br
2 2 6
Direct
0.2115 0.0000 0.2115
0.7885 0.0000 0.7885
0.3071 0.3071 0.0000
0.6929 0.6929 0.0000
0.1652 0.4248 0.2596
0.1652 0.9056 0.7404
0.3416 0.5000 0.8416
0.6584 0.5000 0.1584
0.8348 0.0944 0.2596
0.8348 0.5752 0.7404
```

Values from the calculation:
Its relative energy among the computed polymorphs is 191 meV per atom. The magnetic moment comes out at 0.0 μB/f.u. The uncorrected energy comes out at -2.82 eV per atom. Its symmetry is Immm. As for the mass density: 2.95 g/cm³.


# 3
Here is a relaxed structure of NpPdSe2 from Alexandria via LeMat-Bulk. Energies are from PBE.

```
NpPdSe2
1.0
4.6696 0.0000 0.0000
0.0000 4.6696 0.0000
0.0000 0.0000 3.5954
Np Pd Se
1 1 2
Direct
0.0000 0.0000 0.0000
0.5000 0.5000 0.0000
0.0000 0.5000 0.5000
0.5000 0.0000 0.5000
```

Values from the calculation:
Its relative energy among the computed polymorphs is 126 meV per atom. The magnetic moment comes out at 3.7 μB/f.u. The uncorrected energy comes out at -6.96 eV per atom. Its symmetry is P4/mmm. As for the mass density: 10.62 g/cm³.


# 4
Here is a relaxed structure of Cs3Nd3ErTe8 from Alexandria via LeMat-Bulk. Energies are from PBE.

```
Cs3Nd3ErTe8
1.0
7.8592 -4.5349 0.0000
7.8592 4.5349 0.0000
-5.2457 0.0000 9.2350
Cs Nd Er Te
3 3 1 8
Direct
0.0000 0.0000 0.0000
0.0000 0.5000 0.0000
0.5000 0.0000 0.0000
0.0000 0.5000 0.5000
0.5000 0.0000 0.5000
0.5000 0.5000 0.5000
0.0000 0.0000 0.5000
0.2262 0.2262 0.6911
0.2262 0.7391 0.6911
0.2609 0.7738 0.3089
0.2676 0.2676 0.3033
0.7324 0.7324 0.6967
0.7391 0.2262 0.6911
0.7738 0.2609 0.3089
0.7738 0.7738 0.3089
```

Values from the calculation:
The magnetic moment comes out at 0.0 μB/f.u. The uncorrected energy comes out at -4.43 eV per atom. Its symmetry is C2/m. As for the mass density: 5.09 g/cm³.


# 5
Here is a relaxed structure of Nb3InH from Alexandria via LeMat-Bulk. Energies are from PBE.

```
Nb3InH
1.0
4.7714 0.0000 0.0000
-2.3805 5.0117 0.0000
-0.0107 -2.5002 6.6294
Nb In H
6 2 2
Direct
0.0000 0.0000 0.0000
0.0000 0.0000 0.5000
0.2208 0.4684 0.3581
0.2314 0.4678 0.8748
0.7686 0.5322 0.1252
0.7792 0.5316 0.6419
0.4990 0.9988 0.7519
0.5010 0.0012 0.2481
0.3248 0.3882 0.5961
0.6752 0.6118 0.4039
```

Values from the calculation:
The magnetic moment comes out at 0.0 μB/f.u. The uncorrected energy comes out at -7.34 eV per atom. Its symmetry is P-1. As for the mass density: 8.27 g/cm³.


# 6
Here is a relaxed structure of Ac12Ni6Ag from Alexandria via LeMat-Bulk. Energies are from PBE.

```
Ac12Ni6Ag
1.0
-5.3275 5.3275 5.3275
5.3275 -5.3275 5.3275
5.3275 5.3275 -5.3275
Ac Ni Ag
12 6 1
Direct
0.1285 0.3111 0.8174
0.1826 0.4937 0.3111
0.1826 0.8715 0.6889
0.3111 0.1826 0.4937
0.3111 0.8174 0.1285
0.4937 0.3111 0.1826
0.5063 0.6889 0.8174
0.6889 0.1826 0.8715
0.6889 0.8174 0.5063
0.8174 0.1285 0.3111
0.8174 0.5063 0.6889
0.8715 0.6889 0.1826
0.1188 0.5000 0.6188
0.3812 0.8812 0.5000
0.5000 0.3812 0.8812
0.5000 0.6188 0.1188
0.6188 0.1188 0.5000
0.8812 0.5000 0.3812
0.0000 0.0000 0.0000
```

Values from the calculation:
As for the formation enthalpy at 0 K: -0.198 eV per atom. The magnetic moment comes out at 0.0 μB/f.u. The uncorrected energy comes out at -4.77 eV per atom. Its symmetry is Im-3. As for the mass density: 8.74 g/cm³.


Question: What is the mass density in the second record?
Answer: 2.95 g/cm³


Question: uncorrected energy of number 6 (Ac12Ni6Ag)?
Answer: -4.77 eV per atom